First-principles (GGA-PBE) data for a geometry-optimized Ho7In2Pd2 structure, as listed in Alexandria via LeMat-Bulk.

Values from the calculation:
ΔE_f (eV/atom): -0.3553
Size of the total moment (μB per formula unit): 0.00

Lattice parameters (Å, degrees): 8.1327 11.0510 7.0538 90.00 90.00 90.00
With the nearest neighbours (Å) after each atom.
Space group Cmmm (No. 65)
Asymmetric unit:
1 Ho 0.0000 0.0000 0.0000 (multiplicity 2)  2 Pd 3.21
2 Ho 0.0000 0.5000 0.2479 (multiplicity 4)  2 Pd 2.90, 2 In 3.18
3 Ho 0.2500 0.2500 0.2549 (multiplicity 8)  2 Pd 2.75
4 In 0.1751 0.0000 0.5000 (multiplicity 4)  1 In 2.85, 2 Ho 3.18
5 Pd 0.0000 0.2904 0.0000 (multiplicity 4)  6 Ho 2.75-2.90

=====

First-principles (GGA-PBE) data for a geometry-optimized MnCrH3 structure, as listed in Alexandria via LeMat-Bulk.

Values from the calculation:
Energy relative to the lowest polymorph listed for this composition (eV per atom): 0.0976
Size of the total moment (μB per formula unit): 1.81

Lattice parameters (Å, degrees): 5.2120 5.2120 5.2120 90.00 90.00 90.00
With the nearest neighbours (Å) after each atom.
Space group P2_13 (No. 198)
Asymmetric unit:
1 Mn 0.1071 0.3929 0.6071 (multiplicity 4)  6 H 1.81-1.92
2 Cr 0.1021 0.8979 0.3979 (multiplicity 4)  6 H 1.73-1.74
3 H 0.0375 0.6991 0.1409 (multiplicity 12)  2 Cr 1.73-1.74, 2 Mn 1.81-1.92

=====

no.,ρ (g/cm3),Fermi-level density of states (states/eV/f.u.)
1,8.37,10.053
2,5.16,2.626